First-principles (GGA-PBE) data for a geometry-optimized Mn2ReTc structure, as listed in Alexandria via LeMat-Bulk.

Summary:
- Fermi-level density of states (states/eV per atom) = 1.21
- total energy (eV per cell) = -40.73
- energy of formation from the pure elements (eV per formula unit) = 0.426

Lattice parameters (Å, degrees): 2.676 3.731 5.341 90.00 90.00 90.00
Space group Pmm2 (No. 25)
Symmetry-distinct sites (fractional):
1 Mn 0.000 0.000 0.000 (multiplicity 1)
2 Mn 0.500 0.500 0.230 (multiplicity 1)
3 Re 0.000 0.000 0.483 (multiplicity 1)
4 Tc 0.500 0.500 0.749 (multiplicity 1)


First-principles (GGA-PBE) data for a geometry-optimized TbPmLuHg structure, as listed in Alexandria via LeMat-Bulk.

Summary:
- Fermi-level density of states (states/eV per atom) = 1.31
- total energy (eV per cell) = -58.05
- energy of formation from the pure elements (eV per formula unit) = -0.310

Lattice parameters (Å, degrees): 7.679 7.679 7.679 90.00 90.00 90.00
Space group F-43m (No. 216)
Symmetry-distinct sites (fractional):
1 Tb 0.000 0.000 0.000 (multiplicity 4)
2 Pm 0.000 0.000 0.500 (multiplicity 4)
3 Lu 0.250 0.250 0.250 (multiplicity 4)
4 Hg 0.250 0.250 0.750 (multiplicity 4)


- Look up the Fermi-level density of states of the first one.
  1.21 states/eV per atom


- total energy of number 2 (TbPmLuHg)?
  -58.05 eV per cell


- Among the records above, which one has the highest energy of formation from the pure elements?
  Mn2ReTc